# ZnCoAg2 (GGA-PBE, optimized geometry)
data_ZnCoAg2
_chemical_formula_sum 'Zn4 Co4 Ag8'
_space_group_name_H-M_alt 'F -4 3 m'
_space_group_IT_number 216
_space_group_name_Hall 'F -4 2 3'
_cell_length_a 6.269
_cell_length_b 6.269
_cell_length_c 6.269
_cell_angle_alpha 90.00
_cell_angle_beta 90.00
_cell_angle_gamma 90.00
loop_
_atom_site_label
_atom_site_fract_x
_atom_site_fract_y
_atom_site_fract_z
Zn1 0.000 0.000 0.000
Co1 0.250 0.250 0.750
Ag1 0.000 0.000 0.500
Ag2 0.250 0.250 0.250
# * calculated formation energy: 0.26 eV/atom
# * magnetic moment: 0.315 μB per atom